# 1
DFT (PBE) results for a relaxed structure of CaMg14TiO16.

a = 4.3159 Å, b = 8.6227 Å, c = 8.6631 Å
α = 90.00°, β = 90.00°, γ = 90.00°
With the nearest neighbours (Å) after each atom.
Positions (direct):
Ca 0.0000 0.0000 0.0000  6 O 2.16-2.28
Mg 0.0000 0.5000 0.0000  6 O 2.03-2.19
Mg 0.0000 0.5000 0.5000  6 O 2.10-2.16
Mg 0.5000 0.0000 0.2526  6 O 2.14-2.19
Mg 0.5000 0.0000 0.7474  6 O 2.14-2.19
Mg 0.5000 0.5000 0.2505  6 O 2.16-2.17
Mg 0.5000 0.5000 0.7495  6 O 2.16-2.17
Mg 0.5000 0.2562 0.0000  6 O 2.10-2.21
Mg 0.5000 0.2528 0.5000  6 O 2.13-2.18
Mg 0.5000 0.7438 0.0000  6 O 2.10-2.21
Mg 0.5000 0.7472 0.5000  6 O 2.13-2.18
Mg 0.0000 0.2541 0.2520  6 O 2.12-2.19
Mg 0.0000 0.2541 0.7480  6 O 2.12-2.19
Mg 0.0000 0.7459 0.2520  6 O 2.12-2.19
Mg 0.0000 0.7459 0.7480  6 O 2.12-2.19
Ti 0.0000 0.0000 0.5000  6 O 2.10-2.22
O 0.0000 0.2643 0.0000  5 Mg 2.03-2.18
O 0.0000 0.2569 0.5000  5 Mg 2.10-2.16, 1 Ti 2.22
O 0.0000 0.7357 0.0000  5 Mg 2.03-2.18
O 0.0000 0.7431 0.5000  5 Mg 2.10-2.16, 1 Ti 2.22
O 0.5000 0.2497 0.2505  6 Mg 2.15-2.17
O 0.5000 0.2497 0.7495  6 Mg 2.15-2.17
O 0.5000 0.7503 0.2505  6 Mg 2.15-2.17
O 0.5000 0.7503 0.7495  6 Mg 2.15-2.17
O 0.5000 0.0000 0.0000  2 Ca 2.16, 4 Mg 2.19-2.21
O 0.5000 0.0000 0.5000  4 Mg 2.14-2.18, 2 Ti 2.16
O 0.5000 0.5000 0.0000  6 Mg 2.10-2.17
O 0.5000 0.5000 0.5000  6 Mg 2.13-2.16
O 0.0000 0.0000 0.2572  1 Ti 2.10, 4 Mg 2.16-2.19, 1 Ca 2.23
O 0.0000 0.0000 0.7428  1 Ti 2.10, 4 Mg 2.16-2.19, 1 Ca 2.23
O 0.0000 0.5000 0.2523  6 Mg 2.12-2.19
O 0.0000 0.5000 0.7477  6 Mg 2.12-2.19

## Properties
E_form (uncorrected)   -2.628 eV per atom
Spin magnetization   1.924 μB/f.u.
VASP energy   -6.114 eV/atom
Crystal system   orthorhombic

=====

# 2
DFT (PBE) results for a relaxed structure of Ca2MgTlO4.

a = 6.2816 Å, b = 6.2816 Å, c = 6.2816 Å
α = 71.22°, β = 131.38°, γ = 131.38°
With the nearest neighbours (Å) after each atom.
Positions (direct):
Ca 0.5000 0.7500 0.2500  4 O 2.28
Ca 0.0000 0.0000 0.0000  4 O 2.26
Mg 0.5000 0.2500 0.7500  4 O 2.03
Tl 0.0000 0.5000 0.5000  4 O 2.38
O 0.4776 0.3569 0.3985  1 Mg 2.03, 1 Ca 2.26
O 0.0416 0.1207 0.6431  1 Mg 2.03, 1 Ca 2.26
O 0.9584 0.6015 0.0792  1 Mg 2.03, 1 Ca 2.26
O 0.5224 0.9208 0.8793  1 Mg 2.03, 1 Ca 2.26

## Properties
E_form (uncorrected)   -2.128 eV per atom
Spin magnetization   0.432 μB/f.u.
VASP energy   -5.602 eV/atom
Crystal system   tetragonal

=====

# 3
DFT (PBE) results for a relaxed structure of CaMgTl2O.

a = 5.6854 Å, b = 3.8055 Å, c = 5.6854 Å
α = 90.00°, β = 90.00°, γ = 90.00°
With the nearest neighbours (Å) after each atom.
Positions (direct):
Mg 0.0000 0.5000 0.0000  2 O 1.90
Tl 0.0000 0.0000 0.5000  2 O 2.84
Tl 0.5000 0.0000 0.0000  2 O 2.84
Ca 0.5000 0.5000 0.5000  8 Tl 3.42, 2 Ca 3.81
O 0.0000 0.0000 0.0000  2 Mg 1.90

## Properties
E_form (uncorrected)   -0.714 eV per atom
Spin magnetization   0.000 μB/f.u.
VASP energy   -3.371 eV/atom
Crystal system   tetragonal

=====

# 4
DFT (PBE) results for a relaxed structure of Ca2MgTlO.

a = 4.9132 Å, b = 4.9132 Å, c = 4.4124 Å
α = 90.00°, β = 90.00°, γ = 90.00°
With the nearest neighbours (Å) after each atom.
Positions (direct):
Mg 0.0000 0.0000 0.5000  2 O 2.21
Tl 0.5000 0.5000 0.5000  8 Ca 3.30, 4 Mg 3.47
Ca 0.0000 0.5000 0.0000  2 O 2.46
Ca 0.5000 0.0000 0.0000  2 O 2.46
O 0.0000 0.0000 0.0000  2 Mg 2.21, 4 Ca 2.46

## Properties
E_form (uncorrected)   -1.242 eV per atom
Spin magnetization   0.000 μB/f.u.
VASP energy   -3.827 eV/atom
Crystal system   tetragonal

=====

# 5
DFT (PBE) results for a relaxed structure of Ca2MgTlO5.

a = 3.4334 Å, b = 6.7228 Å, c = 11.5487 Å
α = 90.00°, β = 90.00°, γ = 104.79°
With the nearest neighbours (Å) after each atom.
Positions (direct):
Ca 0.8439 0.6877 0.7631  6 O 2.34-2.52
Ca 0.0761 0.1523 0.6590  6 O 2.31-2.46
Ca 0.1561 0.3123 0.2631  6 O 2.34-2.52
Ca 0.9239 0.8477 0.1590  6 O 2.31-2.46
Mg 0.7543 0.5086 0.5167  4 O 1.99-2.12
Mg 0.2457 0.4914 0.0167  4 O 1.99-2.12
Tl 0.5505 0.1010 0.9452  5 O 2.17-2.26
Tl 0.4495 0.8990 0.4452  5 O 2.17-2.26
O 0.3983 0.7967 0.0283  1 Mg 1.99, 1 Tl 2.20
O 0.7219 0.4439 0.9127  2 Mg 2.12, 1 Tl 2.26, 1 Ca 2.34
O 0.4854 0.9708 0.7726  1 Tl 2.17
O 0.2543 0.5086 0.6632  3 Ca 2.32-2.37, 2 Mg 2.41
O 0.9083 0.8165 0.5632  1 Mg 2.07, 2 Tl 2.26
O 0.6017 0.2033 0.5283  1 Mg 1.99, 1 Tl 2.20
O 0.2781 0.5561 0.4127  2 Mg 2.12, 1 Tl 2.26, 1 Ca 2.34
O 0.5146 0.0292 0.2726  1 Tl 2.17
O 0.7457 0.4914 0.1632  3 Ca 2.32-2.37, 2 Mg 2.41
O 0.0917 0.1835 0.0632  1 Mg 2.07, 2 Tl 2.26

## Properties
E_form (uncorrected)   -1.938 eV per atom
Spin magnetization   1.052 μB/f.u.
VASP energy   -5.577 eV/atom
Crystal system   orthorhombic

=====

What did the third record say?
DFT (PBE) results for a relaxed structure of CaMgTl2O.

a = 5.6854 Å, b = 3.8055 Å, c = 5.6854 Å
α = 90.00°, β = 90.00°, γ = 90.00°
With the nearest neighbours (Å) after each atom.
Positions (direct):
Mg 0.0000 0.5000 0.0000  2 O 1.90
Tl 0.0000 0.0000 0.5000  2 O 2.84
Tl 0.5000 0.0000 0.0000  2 O 2.84
Ca 0.5000 0.5000 0.5000  8 Tl 3.42, 2 Ca 3.81
O 0.0000 0.0000 0.0000  2 Mg 1.90

## Properties
E_form (uncorrected)   -0.714 eV per atom
Spin magnetization   0.000 μB/f.u.
VASP energy   -3.371 eV/atom
Crystal system   tetragonal